(1)
# Li2Tl2In (PBE-GGA, optimized geometry)
data_Li2Tl2In
_symmetry_space_group_name_H-M 'P 4/m b m'
_symmetry_Int_Tables_number 127
_symmetry_space_group_name_Hall '-P 4 2ab'
_cell_length_a 7.9834
_cell_length_b 7.9834
_cell_length_c 3.6018
_cell_angle_alpha 90.00
_cell_angle_beta 90.00
_cell_angle_gamma 90.00
loop_
_atom_site_label
_atom_site_type_symbol
_atom_site_fract_x
_atom_site_fract_y
_atom_site_fract_z
_atom_site_occupancy
Li1 Li 0.1372 0.3628 0.0000 1
Tl1 Tl 0.1609 0.6609 0.5000 1
In1 In 0.0000 0.0000 0.0000 1
# Formation energy ... -149 meV per atom
# Uncorrected energy ... -24.09 eV per cell
# Magnetic moment ... 0.00 μB/f.u.
# Distance to the lowest polymorph of the same formula ... 0.000 kcal/mol of atoms
# Calculated density ... 7.776 g cm⁻³

---

(2)
# CrCoIr3 (PBE-GGA, optimized geometry)
data_CrCoIr3
_symmetry_space_group_name_H-M 'P -1'
_symmetry_Int_Tables_number 2
_cell_length_a 4.6341
_cell_length_b 5.0306
_cell_length_c 6.3043
_cell_angle_alpha 103.03
_cell_angle_beta 111.37
_cell_angle_gamma 90.34
loop_
_symmetry_equiv_pos_as_xyz
'x,y,z'
'-x,-y,-z'
loop_
_atom_site_label
_atom_site_type_symbol
_atom_site_fract_x
_atom_site_fract_y
_atom_site_fract_z
_atom_site_occupancy
Cr1 Cr 0.1870 0.4533 0.2019 1
Co1 Co 0.3873 0.8514 0.6002 1
Ir1 Ir 0.0247 0.9511 0.2050 1
Ir2 Ir 0.2257 0.3557 0.5961 1
Ir3 Ir 0.4143 0.7448 0.9973 1
# Formation energy ... -103 meV per atom
# Uncorrected energy ... -87.65 eV per cell
# Magnetic moment ... 1.12 μB/f.u.
# Distance to the lowest polymorph of the same formula ... 0.000 kcal/mol of atoms
# Calculated density ... 17.207 g cm⁻³

---

(3)
# CaIrN3 (PBE-GGA, optimized geometry)
data_CaIrN3
_symmetry_space_group_name_H-M 'P m -3 m'
_symmetry_Int_Tables_number 221
_symmetry_space_group_name_Hall '-P 4 2 3'
_cell_length_a 4.0855
_cell_length_b 4.0855
_cell_length_c 4.0855
_cell_angle_alpha 90.00
_cell_angle_beta 90.00
_cell_angle_gamma 90.00
loop_
_atom_site_label
_atom_site_type_symbol
_atom_site_fract_x
_atom_site_fract_y
_atom_site_fract_z
_atom_site_occupancy
Ca1 Ca 0.0000 0.0000 0.0000 1
Ir1 Ir 0.5000 0.5000 0.5000 1
N1 N 0.0000 0.0000 0.5000 1
# Uncorrected energy ... -21.68 eV per cell
# Magnetic moment ... 0.00 μB/f.u.
# Calculated density ... 6.680 g cm⁻³
# Formation energy (no corrections) ... 14.159 eV per formula unit